(1)
# Ca2NdTe3

A relaxed structure of Ca2NdTe3 (PBE, Alexandria).

Computed properties:
Crystal system ... orthorhombic
Calculated total energy ... -4.58 eV/atom
M_tot ... 0.00 μB/f.u.
SG ... Immm

a b c (Å): 7.824 7.824 7.824
angles (deg): 146.73 131.86 59.77
Sites, in units of the cell vectors:
1 Ca 0.167 0.167 0.000
2 Ca 0.833 0.833 0.000
3 Nd 0.500 0.500 0.000
4 Te 0.000 0.500 0.500
5 Te 0.331 0.831 0.500
6 Te 0.669 0.169 0.500

=====

(2)
# CaNd2Te4

A relaxed structure of CaNd2Te4 (PBE, Alexandria).

Computed properties:
Crystal system ... tetragonal
Calculated total energy ... -4.93 eV/atom
M_tot ... 0.00 μB/f.u.
Energy above the most stable polymorph in this dataset ... 0 meV per atom
SG ... I-42d

a b c (Å): 8.295 8.295 8.295
angles (deg): 109.78 109.78 108.86
Sites, in units of the cell vectors:
1 Ca 0.000 0.000 0.000
2 Ca 0.750 0.250 0.500
3 Nd 0.250 0.625 0.125
4 Nd 0.375 0.500 0.625
5 Nd 0.500 0.125 0.875
6 Nd 0.875 0.750 0.375
7 Te 0.126 0.229 0.747
8 Te 0.128 0.731 0.753
9 Te 0.269 0.021 0.397
10 Te 0.481 0.378 0.253
11 Te 0.622 0.874 0.103
12 Te 0.624 0.872 0.603
13 Te 0.771 0.519 0.897
14 Te 0.979 0.376 0.247

=====

(3)
# CaNdTe2

A relaxed structure of CaNdTe2 (PBE, Alexandria).

Computed properties:
Crystal system ... trigonal
Calculated total energy ... -4.78 eV/atom
M_tot ... 0.00 μB/f.u.
Energy above the most stable polymorph in this dataset ... 0 meV per atom
SG ... R-3m

a b c (Å): 7.924 7.924 7.924
angles (deg): 32.66 32.66 32.66
Sites, in units of the cell vectors:
1 Ca 0.000 0.000 0.000
2 Nd 0.500 0.500 0.500
3 Te 0.252 0.252 0.252
4 Te 0.748 0.748 0.748

=====

(4)
# CaNd5Te6

A relaxed structure of CaNd5Te6 (PBE, Alexandria).

Computed properties:
Crystal system ... monoclinic
Calculated total energy ... -5.18 eV/atom
M_tot ... 0.00 μB/f.u.
SG ... C2/m

a b c (Å): 7.790 7.790 7.801
angles (deg): 99.55 99.55 120.16
Sites, in units of the cell vectors:
1 Ca 0.000 0.000 0.000
2 Nd 0.169 0.831 0.500
3 Nd 0.333 0.667 0.000
4 Nd 0.500 0.500 0.500
5 Nd 0.667 0.333 0.000
6 Nd 0.831 0.169 0.500
7 Te 0.083 0.410 0.248
8 Te 0.246 0.246 0.753
9 Te 0.410 0.083 0.248
10 Te 0.590 0.917 0.752
11 Te 0.754 0.754 0.247
12 Te 0.917 0.590 0.752